Material: KCuPd2F8
Method: DFT, PBE-GGA
State: relaxed

Cell and atoms, written as CIF:
```
data_KCuPd2F8
_chemical_formula_sum 'K1 Cu1 Pd2 F8'
_space_group_name_H-M_alt 'P -1'
_space_group_IT_number 2
_cell_length_a 5.016
_cell_length_b 5.024
_cell_length_c 7.492
_cell_angle_alpha 85.29
_cell_angle_beta 87.53
_cell_angle_gamma 83.30
loop_
_space_group_symop_operation_xyz
'x,y,z'
'-x,-y,-z'
loop_
_atom_site_label
_atom_site_fract_x
_atom_site_fract_y
_atom_site_fract_z
_atom_site_occupancy
K1 0.000 0.000 0.000 1
Cu1 0.000 0.000 0.500 1
Pd1 0.470 0.473 0.295 1
F1 0.157 0.754 0.308 1
F2 0.195 0.786 0.705 1
F3 0.297 0.231 0.479 1
F4 0.377 0.305 0.900 1
```

Results
total magnetization = 2.06 μB per cell
formation energy without anion corrections = -18.7 eV/f.u.
calculated total energy = -4.11 eV/atom

Material: Mo2RuRh
Method: DFT, PBE-GGA
State: relaxed

Cell and atoms, written as CIF:
```
data_Mo2RuRh
_chemical_formula_sum 'Mo4 Ru2 Rh2'
_space_group_name_H-M_alt 'P m m a'
_space_group_IT_number 51
_cell_length_a 3.931
_cell_length_b 3.865
_cell_length_c 7.829
_cell_angle_alpha 90.00
_cell_angle_beta 90.00
_cell_angle_gamma 90.00
loop_
_space_group_symop_operation_xyz
'x,y,z'
'-x,-y,-z'
'-x+1/2,-y,z'
'x+1/2,y,-z'
'x+1/2,-y,-z'
'-x+1/2,y,z'
'-x,y,-z'
'x,-y,z'
loop_
_atom_site_label
_atom_site_fract_x
_atom_site_fract_y
_atom_site_fract_z
_atom_site_occupancy
Mo1 0.250 0.000 0.123 1
Mo2 0.250 0.000 0.627 1
Ru1 0.250 0.500 0.873 1
Rh1 0.250 0.500 0.377 1
```

Results
total magnetization = 0.00 μB per cell
polymorph energy (0 for the lowest one) = 0.009 eV/atom
calculated total energy = -9.65 eV/atom
DFT formation energy = -0.07 eV/atom

Material: Pr2TmTe
Method: DFT, PBE-GGA
State: relaxed

Cell and atoms, written as CIF:
```
data_Pr2TmTe
_chemical_formula_sum 'Pr8 Tm4 Te4'
_space_group_name_H-M_alt 'C m m m'
_space_group_IT_number 65
_space_group_name_Hall '-C 2 2'
_cell_length_a 8.242
_cell_length_b 15.274
_cell_length_c 4.038
_cell_angle_alpha 90.00
_cell_angle_beta 90.00
_cell_angle_gamma 90.00
loop_
_atom_site_label
_atom_site_fract_x
_atom_site_fract_y
_atom_site_fract_z
_atom_site_occupancy
Pr1 0.000 0.124 0.000 1
Pr2 0.000 0.355 0.000 1
Tm1 0.214 0.500 0.500 1
Te1 0.250 0.250 0.500 1
```

Results
total magnetization = 0.00 μB per cell
polymorph energy (0 for the lowest one) = 0.000 eV/atom
formation energy without anion corrections = -2.3 eV/f.u.
calculated total energy = -4.87 eV/atom